[1]
! Cs2UBi2S6 PBE relaxed; values from VASP
&SYSTEM
  ibrav = 0, nat = 11, ntyp = 4
/
ATOMIC_SPECIES
Cs 132.91 Cs.upf
U 238.03 U.upf
Bi 208.98 Bi.upf
S 32.06 S.upf
CELL_PARAMETERS angstrom
3.577 -6.170 0.000
3.577 6.170 0.000
-2.489 0.000 8.262
ATOMIC_POSITIONS crystal
Cs 0.171 0.829 0.000
Cs 0.829 0.171 0.000
U 0.000 0.000 0.500
Bi 0.332 0.668 0.500
Bi 0.668 0.332 0.500
S 0.062 0.383 0.682
S 0.253 0.253 0.319
S 0.383 0.062 0.682
S 0.617 0.938 0.318
S 0.747 0.747 0.681
S 0.938 0.617 0.318
! volume: 33.159 Å³ per atom
! final energy: -5.107 eV per atom
! total magnetic moment: 2.00 μB/f.u.
! E_form (uncorrected): -0.969 eV per atom

[2]
! Cs2UBiS6 PBE relaxed; values from VASP
&SYSTEM
  ibrav = 0, nat = 20, ntyp = 4
/
ATOMIC_SPECIES
Cs 132.91 Cs.upf
U 238.03 U.upf
Bi 208.98 Bi.upf
S 32.06 S.upf
CELL_PARAMETERS angstrom
7.555 0.000 0.000
0.000 10.683 0.000
0.000 0.000 7.554
ATOMIC_POSITIONS crystal
Cs 0.250 0.000 0.250
Cs 0.250 0.500 0.250
Cs 0.750 0.000 0.750
Cs 0.750 0.500 0.750
U 0.250 0.250 0.750
U 0.750 0.750 0.250
Bi 0.250 0.750 0.750
Bi 0.750 0.250 0.250
S 0.012 0.250 0.512
S 0.012 0.250 0.988
S 0.250 0.012 0.750
S 0.250 0.488 0.750
S 0.488 0.250 0.512
S 0.488 0.250 0.988
S 0.512 0.750 0.012
S 0.512 0.750 0.488
S 0.750 0.512 0.250
S 0.750 0.988 0.250
S 0.988 0.750 0.012
S 0.988 0.750 0.488
! volume: 30.481 Å³ per atom
! final energy: -5.081 eV per atom
! total magnetic moment: 0.00 μB/f.u.
! E_form (uncorrected): -0.916 eV per atom

[3]
! Cs2VBiS4 PBE relaxed; values from VASP
&SYSTEM
  ibrav = 0, nat = 16, ntyp = 4
/
ATOMIC_SPECIES
Cs 132.91 Cs.upf
V 50.94 V.upf
Bi 208.98 Bi.upf
S 32.06 S.upf
CELL_PARAMETERS angstrom
0.000 7.349 12.655
3.270 0.000 12.655
3.270 7.349 0.000
ATOMIC_POSITIONS crystal
Cs 0.055 0.055 0.695
Cs 0.305 0.305 0.945
Cs 0.695 0.695 0.055
Cs 0.945 0.945 0.305
V 0.375 0.375 0.375
V 0.625 0.625 0.625
Bi 0.125 0.125 0.125
Bi 0.875 0.875 0.875
S 0.022 0.628 0.538
S 0.312 0.538 0.628
S 0.372 0.978 0.688
S 0.462 0.688 0.978
S 0.538 0.312 0.022
S 0.628 0.022 0.312
S 0.688 0.462 0.372
S 0.978 0.372 0.462
! volume: 38.016 Å³ per atom
! final energy: -4.658 eV per atom
! total magnetic moment: 2.00 μB/f.u.
! E_form (uncorrected): -0.756 eV per atom

[4]
! CsVBiS4 PBE relaxed; values from VASP
&SYSTEM
  ibrav = 0, nat = 14, ntyp = 4
/
ATOMIC_SPECIES
Cs 132.91 Cs.upf
V 50.94 V.upf
Bi 208.98 Bi.upf
S 32.06 S.upf
CELL_PARAMETERS angstrom
6.673 0.000 0.000
0.000 7.097 0.000
-3.025 0.000 8.991
ATOMIC_POSITIONS crystal
Cs 0.218 0.250 0.432
Cs 0.782 0.750 0.568
V 0.285 0.750 0.172
V 0.715 0.250 0.828
Bi 0.272 0.250 0.967
Bi 0.728 0.750 0.033
S 0.073 0.750 0.940
S 0.075 0.750 0.309
S 0.497 0.505 0.197
S 0.497 0.995 0.197
S 0.503 0.005 0.803
S 0.503 0.495 0.803
S 0.925 0.250 0.691
S 0.927 0.250 0.060
! volume: 30.414 Å³ per atom
! final energy: -5.108 eV per atom
! total magnetic moment: 1.01 μB/f.u.
! E_form (uncorrected): -0.770 eV per atom

[5]
! Cs2Y2BiS6 PBE relaxed; values from VASP
&SYSTEM
  ibrav = 0, nat = 11, ntyp = 4
/
ATOMIC_SPECIES
Cs 132.91 Cs.upf
Y 88.91 Y.upf
Bi 208.98 Bi.upf
S 32.06 S.upf
CELL_PARAMETERS angstrom
3.498 -6.067 0.000
3.498 6.067 0.000
-2.340 0.000 8.315
ATOMIC_POSITIONS crystal
Cs 0.167 0.833 0.000
Cs 0.833 0.167 0.000
Y 0.333 0.667 0.500
Y 0.667 0.333 0.500
Bi 0.000 0.000 0.500
S 0.060 0.395 0.680
S 0.273 0.273 0.320
S 0.395 0.060 0.680
S 0.605 0.940 0.320
S 0.727 0.727 0.680
S 0.940 0.605 0.320
! volume: 32.087 Å³ per atom
! final energy: -5.313 eV per atom
! total magnetic moment: 0.00 μB/f.u.
! E_form (uncorrected): -1.378 eV per atom

[6]
! CsZnBiS3 PBE relaxed; values from VASP
&SYSTEM
  ibrav = 0, nat = 12, ntyp = 4
/
ATOMIC_SPECIES
Cs 132.91 Cs.upf
Zn 65.41 Zn.upf
Bi 208.98 Bi.upf
S 32.06 S.upf
CELL_PARAMETERS angstrom
9.702 0.000 0.000
0.000 4.104 0.000
-3.139 0.000 9.395
ATOMIC_POSITIONS crystal
Cs 0.193 0.250 0.233
Cs 0.807 0.750 0.767
Zn 0.086 0.250 0.607
Zn 0.914 0.750 0.393
Bi 0.342 0.750 0.862
Bi 0.658 0.250 0.138
S 0.140 0.250 0.855
S 0.170 0.750 0.527
S 0.449 0.750 0.142
S 0.551 0.250 0.858
S 0.830 0.250 0.473
S 0.860 0.750 0.145
! volume: 31.172 Å³ per atom
! final energy: -3.850 eV per atom
! total magnetic moment: 0.00 μB/f.u.
! E_form (uncorrected): -0.785 eV per atom

[7]
! CsZrBiS4 PBE relaxed; values from VASP
&SYSTEM
  ibrav = 0, nat = 14, ntyp = 4
/
ATOMIC_SPECIES
Cs 132.91 Cs.upf
Zr 91.22 Zr.upf
Bi 208.98 Bi.upf
S 32.06 S.upf
CELL_PARAMETERS angstrom
7.056 0.000 0.000
0.000 7.266 0.000
-3.073 0.000 9.180
ATOMIC_POSITIONS crystal
Cs 0.237 0.250 0.448
Cs 0.763 0.750 0.552
Zr 0.245 0.750 0.152
Zr 0.755 0.250 0.848
Bi 0.293 0.250 0.953
Bi 0.707 0.750 0.047
S 0.007 0.750 0.915
S 0.044 0.750 0.312
S 0.489 0.501 0.186
S 0.489 0.999 0.186
S 0.511 0.001 0.814
S 0.511 0.499 0.814
S 0.956 0.250 0.688
S 0.993 0.250 0.085
! volume: 33.614 Å³ per atom
! final energy: -5.268 eV per atom
! total magnetic moment: 0.00 μB/f.u.
! E_form (uncorrected): -1.012 eV per atom

[8]
! Cs2ZrBiS4 PBE relaxed; values from VASP
&SYSTEM
  ibrav = 0, nat = 16, ntyp = 4
/
ATOMIC_SPECIES
Cs 132.91 Cs.upf
Zr 91.22 Zr.upf
Bi 208.98 Bi.upf
S 32.06 S.upf
CELL_PARAMETERS angstrom
0.000 7.258 12.325
3.605 0.000 12.325
3.605 7.258 0.000
ATOMIC_POSITIONS crystal
Cs 0.057 0.057 0.693
Cs 0.307 0.307 0.943
Cs 0.693 0.693 0.057
Cs 0.943 0.943 0.307
Zr 0.125 0.125 0.125
Zr 0.875 0.875 0.875
Bi 0.375 0.375 0.375
Bi 0.625 0.625 0.625
S 0.067 0.298 0.359
S 0.225 0.641 0.702
S 0.298 0.067 0.775
S 0.359 0.775 0.067
S 0.641 0.225 0.933
S 0.702 0.933 0.225
S 0.775 0.359 0.298
S 0.933 0.702 0.641
! volume: 40.313 Å³ per atom
! final energy: -4.825 eV per atom
! total magnetic moment: 1.05 μB/f.u.
! E_form (uncorrected): -0.995 eV per atom

Copy entry 1 word for word.
! Cs2UBi2S6 PBE relaxed; values from VASP
&SYSTEM
  ibrav = 0, nat = 11, ntyp = 4
/
ATOMIC_SPECIES
Cs 132.91 Cs.upf
U 238.03 U.upf
Bi 208.98 Bi.upf
S 32.06 S.upf
CELL_PARAMETERS angstrom
3.577 -6.170 0.000
3.577 6.170 0.000
-2.489 0.000 8.262
ATOMIC_POSITIONS crystal
Cs 0.171 0.829 0.000
Cs 0.829 0.171 0.000
U 0.000 0.000 0.500
Bi 0.332 0.668 0.500
Bi 0.668 0.332 0.500
S 0.062 0.383 0.682
S 0.253 0.253 0.319
S 0.383 0.062 0.682
S 0.617 0.938 0.318
S 0.747 0.747 0.681
S 0.938 0.617 0.318
! volume: 33.159 Å³ per atom
! final energy: -5.107 eV per atom
! total magnetic moment: 2.00 μB/f.u.
! E_form (uncorrected): -0.969 eV per atom

Which formula does entry 8 have?
Cs2ZrBiS4

Among the records above, which one has the highest volume?
Cs2ZrBiS4